1.
Cs3RhBr6 | PBE | optimized geometry

Values from the calculation:
Its energy relative to the elements, uncorrected is -1.2253 eV/atom. As for the electronic total energy: -64.41 eV per cell. The value obtained for the volume is 40.8 Å³ per atom. Its space-group type is P2_1/c.

Geometry as POSCAR:
```
Cs3RhBr6
1.0
-2.356 7.860 -1.339
-3.320 0.306 7.638
10.401 3.801 4.010
Br Cs Rh
12 6 2
direct
0.494 0.576 0.294
0.994 0.924 0.206
0.329 0.256 0.455
0.006 0.076 0.794
0.506 0.424 0.706
0.251 0.164 0.038
0.751 0.336 0.462
0.829 0.244 0.045
0.671 0.744 0.545
0.249 0.664 0.538
0.171 0.756 0.955
0.749 0.836 0.962
0.556 0.013 0.243
0.500 0.500 0.000
0.444 0.987 0.757
0.000 0.000 0.500
0.944 0.513 0.743
0.056 0.487 0.257
0.500 0.500 0.500
0.000 0.000 0.000
```



2.
K2BaCuF6 | PBE | optimized geometry

Values from the calculation:
Its energy relative to the elements, uncorrected is -2.6728 eV/atom. As for the electronic total energy: -92.34 eV per cell. The value obtained for the volume is 18.0 Å³ per atom. Its space-group type is P2_1/c.

Geometry as POSCAR:
```
K2BaCuF6
1.0
-1.559 -6.037 -0.031
5.909 -1.513 -2.641
3.301 -1.036 7.979
F K Ba Cu
12 4 2 2
direct
0.260 0.672 0.032
0.100 0.446 0.790
0.900 0.554 0.210
0.311 0.717 0.417
0.189 0.217 0.083
0.400 0.946 0.710
0.811 0.783 0.917
0.600 0.054 0.290
0.240 0.172 0.468
0.740 0.328 0.968
0.689 0.283 0.583
0.760 0.828 0.532
0.985 0.052 0.738
0.485 0.448 0.238
0.015 0.948 0.262
0.515 0.552 0.762
0.500 0.000 0.000
0.000 0.500 0.500
0.500 0.000 0.500
0.000 0.500 0.000
```



3.
ZnInB | PBE | optimized geometry

Values from the calculation:
Its formation enthalpy at 0 K is 0.391 eV/atom. As for the electronic total energy: -19.04 eV per cell. The value obtained for the volume is 17.0 Å³ per atom. Its space-group type is P1.

Geometry as POSCAR:
```
ZnInB
1.0
5.537 -0.066 -0.003
0.046 3.726 0.032
-2.428 -1.888 4.935
Zn B In
2 2 2
direct
0.554 0.073 0.019
0.168 0.616 0.106
0.782 0.607 0.087
0.595 0.693 0.256
0.571 0.351 0.585
0.062 0.856 0.591
```



4.
BaBeMo2Ru | PBE | optimized geometry

Values from the calculation:
Its formation enthalpy at 0 K is 1.048 eV/atom. As for the electronic total energy: -31.35 eV per cell. The value obtained for the volume is 22.2 Å³ per atom. Its space-group type is P4/mmm.

Geometry as POSCAR:
```
BaBeMo2Ru
1.0
4.886 0.000 0.000
0.000 4.658 0.000
0.000 0.000 4.886
Ba Mo Ru Be
1 2 1 1
direct
0.500 0.500 0.500
0.000 0.000 0.500
0.500 0.000 0.000
0.000 0.000 0.000
0.000 0.500 0.000
```



5.
Ca2GeS3 | PBE | optimized geometry

Values from the calculation:
Its energy relative to the elements, uncorrected is -1.4778 eV/atom. As for the electronic total energy: -29.87 eV per cell. The value obtained for the volume is 22.5 Å³ per atom. Its space-group type is Immm.

Geometry as POSCAR:
```
Ca2GeS3
1.0
3.843 0.000 -1.089
-0.589 5.193 -2.078
-0.117 -0.292 6.913
S Ge Ca
3 1 2
direct
0.337 0.337 0.675
0.000 0.000 0.000
0.663 0.663 0.325
0.000 0.500 0.000
0.334 0.834 0.668
0.666 0.166 0.332
```



6.
NaLiHg2Bi | PBE | optimized geometry

Values from the calculation:
As for the energy relative to the lowest polymorph listed for this composition: 0.064 eV/atom. Its formation enthalpy at 0 K is -0.085 eV/atom. As for the electronic total energy: -8.14 eV per cell. The value obtained for the volume is 28.0 Å³ per atom. Its space-group type is P4/mmm.

Geometry as POSCAR:
```
NaLiHg2Bi
1.0
-2.398 0.615 -4.507
1.583 -4.664 -1.479
-4.388 -2.137 2.043
Bi Hg Li Na
1 2 1 1
direct
0.000 0.000 0.500
0.500 0.000 0.000
0.000 0.500 0.000
0.000 0.000 0.000
0.500 0.500 0.500
```



7.
Y2HfHN | PBE | optimized geometry

Values from the calculation:
As for the electronic total energy: -32.19 eV per cell. The value obtained for the volume is 17.5 Å³ per atom. Its space-group type is P4/mmm.

Geometry as POSCAR:
```
Y2HfHN
1.0
-1.779 3.737 -2.289
-3.599 -1.028 1.118
0.467 2.618 3.911
N H Y Hf
1 1 2 1
direct
0.500 0.500 0.500
0.000 0.000 0.000
0.500 0.000 0.000
0.000 0.000 0.500
0.000 0.500 0.000
```



8.
Pm6ZnRh3 | PBE | optimized geometry

Values from the calculation:
As for the energy relative to the lowest polymorph listed for this composition: 0.000 eV/atom. Its formation enthalpy at 0 K is -0.474 eV/atom. As for the electronic total energy: -113.15 eV per cell. The value obtained for the volume is 27.1 Å³ per atom. Its space-group type is P2_1/m.

Geometry as POSCAR:
```
Pm6ZnRh3
1.0
4.316 0.000 0.000
0.000 10.085 -3.888
0.000 0.043 12.441
Rh Pm Zn
6 12 2
direct
0.250 0.889 0.956
0.250 0.309 0.476
0.750 0.691 0.524
0.750 0.111 0.044
0.750 0.405 0.827
0.250 0.595 0.173
0.750 0.120 0.435
0.250 0.880 0.565
0.750 0.476 0.611
0.750 0.413 0.076
0.250 0.168 0.203
0.250 0.587 0.924
0.750 0.832 0.797
0.750 0.869 0.097
0.750 0.738 0.309
0.250 0.262 0.691
0.250 0.131 0.903
0.250 0.524 0.389
0.250 0.927 0.293
0.750 0.073 0.707
```



9.
In2HgSe | PBE | optimized geometry

Values from the calculation:
As for the energy relative to the lowest polymorph listed for this composition: 0.129 eV/atom. Its energy relative to the elements, uncorrected is -0.1211 eV/atom. As for the electronic total energy: -9.75 eV per cell. The value obtained for the volume is 26.7 Å³ per atom. Its space-group type is P4/mmm.

Geometry as POSCAR:
```
In2HgSe
1.0
-4.598 0.824 -1.971
-0.219 -4.827 -1.505
-1.742 -1.051 3.624
In Hg Se
2 1 1
direct
0.500 0.500 0.000
0.000 0.000 0.000
0.000 0.500 0.500
0.500 0.000 0.500
```



10.
Pr7Dy3 | PBE | optimized geometry

Values from the calculation:
As for the energy relative to the lowest polymorph listed for this composition: 0.000 eV/atom. Its formation enthalpy at 0 K is 0.014 eV/atom. As for the electronic total energy: -47.12 eV per cell. The value obtained for the volume is 34.7 Å³ per atom. Its space-group type is C2/m.

Geometry as POSCAR:
```
Pr7Dy3
1.0
-3.849 3.269 -1.175
-4.354 -5.671 -1.514
2.348 2.400 10.425
Pr Dy
7 3
direct
0.399 0.099 0.797
0.601 0.901 0.203
0.200 0.299 0.400
0.600 0.400 0.199
0.800 0.701 0.600
0.400 0.600 0.801
0.000 0.500 0.000
0.201 0.802 0.402
0.000 0.000 0.000
0.799 0.198 0.598
```



11.
Be3C | PBE | optimized geometry

Values from the calculation:
As for the energy relative to the lowest polymorph listed for this composition: 0.885 eV/atom. Its formation enthalpy at 0 K is 1.091 eV/atom. As for the electronic total energy: -16.04 eV per cell. The value obtained for the volume is 7.7 Å³ per atom. Its space-group type is Fm-3m.

Geometry as POSCAR:
```
Be3C
1.0
3.525 0.000 0.000
1.763 3.053 0.000
1.763 1.018 2.878
Be C
3 1
direct
0.000 0.000 0.000
0.250 0.250 0.250
0.500 0.500 0.500
0.750 0.750 0.750
```



12.
Rb2BePbCl6 | PBE | optimized geometry

Values from the calculation:
As for the energy relative to the lowest polymorph listed for this composition: 0.000 eV/atom. Its energy relative to the elements, uncorrected is -1.5390 eV/atom. As for the electronic total energy: -35.84 eV per cell. The value obtained for the volume is 37.7 Å³ per atom. Its space-group type is R3.

Geometry as POSCAR:
```
Rb2BePbCl6
1.0
7.550 0.000 0.000
3.775 6.536 -0.002
3.773 2.177 7.636
Cl Rb Pb Be
6 2 1 1
direct
0.485 0.709 0.725
0.082 0.485 0.725
0.028 0.533 0.237
0.202 0.028 0.237
0.709 0.082 0.725
0.533 0.202 0.237
0.028 0.028 0.915
0.523 0.523 0.431
0.817 0.817 0.549
0.256 0.256 0.233
```



13.
TiPSN2 | PBE | optimized geometry

Values from the calculation:
As for the energy relative to the lowest polymorph listed for this composition: 0.253 eV/atom. Its energy relative to the elements, uncorrected is 0.6511 eV/atom. As for the electronic total energy: -30.83 eV per cell. The value obtained for the volume is 15.0 Å³ per atom. Its space-group type is P4/mmm.

Geometry as POSCAR:
```
TiPSN2
1.0
-1.488 -3.170 1.506
4.332 -2.579 -1.146
1.454 0.932 3.398
Ti N S P
1 2 1 1
direct
0.000 0.000 0.000
0.000 0.000 0.500
0.500 0.000 0.000
0.000 0.500 0.000
0.500 0.500 0.500
```



14.
Ag2RuBr | PBE | optimized geometry

Values from the calculation:
As for the energy relative to the lowest polymorph listed for this composition: 0.000 eV/atom. Its energy relative to the elements, uncorrected is 0.4719 eV/atom. As for the electronic total energy: -14.76 eV per cell. The value obtained for the volume is 20.6 Å³ per atom. Its space-group type is Pm.

Geometry as POSCAR:
```
Ag2RuBr
1.0
-0.142 1.942 2.461
-3.709 0.232 -0.397
-2.633 -5.400 4.109
Br Ru Ag
1 1 2
direct
0.000 0.674 0.523
0.500 0.540 0.794
0.000 0.946 0.983
0.500 0.340 0.199
```



15.
Ag5Br3 | PBE | optimized geometry

Values from the calculation:
As for the energy relative to the lowest polymorph listed for this composition: 0.186 eV/atom. Its energy relative to the elements, uncorrected is 0.0147 eV/atom. As for the electronic total energy: -19.16 eV per cell. The value obtained for the volume is 28.0 Å³ per atom. Its space-group type is Cmmm.

Geometry as POSCAR:
```
Ag5Br3
1.0
4.238 6.669 2.668
-4.600 -1.185 -6.855
-3.463 1.365 2.088
Br Ag
3 5
direct
0.290 0.710 0.500
0.710 0.290 0.500
0.500 0.500 0.000
0.000 0.000 0.000
0.232 0.232 0.500
0.000 0.500 0.000
0.500 0.000 0.000
0.768 0.768 0.500
```



16.
Cd7In2Hg2 | PBE | optimized geometry

Values from the calculation:
As for the energy relative to the lowest polymorph listed for this composition: 0.021 eV/atom. Its formation enthalpy at 0 K is 0.056 eV/atom. As for the electronic total energy: -11.87 eV per cell. The value obtained for the volume is 25.3 Å³ per atom. Its space-group type is C2/m.

Geometry as POSCAR:
```
Cd7In2Hg2
1.0
-5.919 1.204 -1.711
0.041 -2.064 -6.508
-3.237 -5.506 2.410
Cd In Hg
7 2 2
direct
0.949 0.330 0.330
0.697 0.576 0.065
0.697 0.065 0.576
0.303 0.424 0.935
0.500 0.000 0.000
0.051 0.670 0.670
0.303 0.935 0.424
0.419 0.353 0.353
0.581 0.647 0.647
0.000 0.157 0.843
0.000 0.843 0.157
```



17.
YNi3Ag | PBE | optimized geometry

Values from the calculation:
As for the energy relative to the lowest polymorph listed for this composition: 0.000 eV/atom. Its formation enthalpy at 0 K is 0.690 eV/atom. As for the electronic total energy: -23.21 eV per cell. The value obtained for the volume is 19.7 Å³ per atom. Its space-group type is Pm-3m.

Geometry as POSCAR:
```
YNi3Ag
1.0
-2.916 3.272 1.455
-2.896 -3.258 1.524
2.107 0.050 4.109
Ni Ag Y
3 1 1
direct
0.500 0.000 0.000
0.000 0.500 0.000
0.000 0.000 0.500
0.000 0.000 0.000
0.500 0.500 0.500
```



18.
K3Li2Au4 | PBE | optimized geometry

Values from the calculation:
As for the energy relative to the lowest polymorph listed for this composition: 0.000 eV/atom. Its formation enthalpy at 0 K is -0.361 eV/atom. As for the electronic total energy: -23.48 eV per cell. The value obtained for the volume is 28.1 Å³ per atom. Its space-group type is C2/m.

Geometry as POSCAR:
```
K3Li2Au4
1.0
4.630 0.000 0.000
-2.315 5.832 -1.568
0.000 0.086 9.341
K Li Au
3 2 4
direct
0.626 0.252 0.376
0.374 0.748 0.624
0.000 0.000 0.000
0.673 0.345 0.790
0.327 0.655 0.210
0.914 0.828 0.367
0.751 0.503 0.089
0.249 0.497 0.911
0.086 0.172 0.633
```



19.
Ca4Si2Hg5 | PBE | optimized geometry

Values from the calculation:
Its energy relative to the elements, uncorrected is -0.4030 eV/atom. As for the electronic total energy: -24.79 eV per cell. The value obtained for the volume is 25.8 Å³ per atom. Its space-group type is P2/m.

Geometry as POSCAR:
```
Ca4Si2Hg5
1.0
-3.937 0.523 -0.017
-1.028 -7.748 -0.215
-0.033 0.052 9.132
Ca Hg Si
4 5 2
direct
0.500 0.800 0.149
0.500 0.200 0.851
0.500 0.758 0.587
0.500 0.242 0.413
0.000 0.436 0.660
0.000 0.564 0.340
0.000 0.858 0.872
0.000 0.500 0.000
0.000 0.142 0.128
0.000 0.941 0.383
0.000 0.059 0.617
```



20.
La2PmTm4 | PBE | optimized geometry

Values from the calculation:
As for the energy relative to the lowest polymorph listed for this composition: 0.000 eV/atom. Its formation enthalpy at 0 K is 0.029 eV/atom. As for the electronic total energy: -64.58 eV per cell. The value obtained for the volume is 32.6 Å³ per atom. Its space-group type is P1.

Geometry as POSCAR:
```
La2PmTm4
1.0
10.314 0.347 -2.912
-4.445 5.205 -2.100
-0.279 0.526 8.008
Tm La Pm
8 4 2
direct
0.981 0.570 0.588
0.121 0.354 0.300
0.698 0.004 0.164
0.839 0.286 0.876
0.123 0.855 0.300
0.266 0.143 0.022
0.556 0.715 0.447
0.559 0.219 0.448
0.983 0.075 0.585
0.412 0.926 0.729
0.266 0.644 0.024
0.410 0.430 0.730
0.839 0.784 0.876
0.696 0.497 0.163
```



21.
SrErTlIn | PBE | optimized geometry

Values from the calculation:
Its formation enthalpy at 0 K is -0.341 eV/atom. As for the electronic total energy: -12.71 eV per cell. The value obtained for the volume is 29.9 Å³ per atom. Its space-group type is F-43m.

Geometry as POSCAR:
```
SrErTlIn
1.0
-5.334 0.405 -1.402
-2.177 -3.542 -3.646
-3.602 -3.841 1.689
Sr In Tl Er
1 1 1 1
direct
0.750 0.750 0.750
0.500 0.500 0.500
0.000 0.000 0.000
0.250 0.250 0.250
```



22.
K2Cd6GaAg | PBE | optimized geometry

Values from the calculation:
Its formation enthalpy at 0 K is -0.044 eV/atom. As for the electronic total energy: -14.00 eV per cell. The value obtained for the volume is 29.0 Å³ per atom. Its space-group type is P-1.

Geometry as POSCAR:
```
K2Cd6GaAg
1.0
-0.925 4.209 -5.928
-7.389 -1.307 0.229
-4.798 5.599 0.346
K Cd Ag Ga
2 6 1 1
direct
0.314 0.685 0.625
0.686 0.315 0.375
0.873 0.661 0.512
0.827 0.873 0.788
0.127 0.339 0.488
0.173 0.127 0.212
0.338 0.829 0.040
0.662 0.171 0.960
0.500 0.500 0.000
0.000 0.000 0.000
```



23.
K2TcI4Br2 | PBE | optimized geometry

Values from the calculation:
Its energy relative to the elements, uncorrected is -0.8096 eV/atom. As for the electronic total energy: -29.39 eV per cell. The value obtained for the volume is 38.8 Å³ per atom. Its space-group type is C2/m.

Geometry as POSCAR:
```
K2TcI4Br2
1.0
7.946 1.246 0.847
2.981 7.256 0.094
2.981 2.752 6.715
I Tc Br K
4 1 2 2
direct
0.703 0.792 0.277
0.297 0.208 0.723
0.297 0.723 0.208
0.703 0.277 0.792
0.500 0.000 0.000
0.792 0.769 0.769
0.208 0.231 0.231
0.226 0.752 0.752
0.774 0.248 0.248
```



24.
Ta2MoPb | PBE | optimized geometry

Values from the calculation:
Its formation enthalpy at 0 K is 0.497 eV/atom. As for the electronic total energy: -36.25 eV per cell. The value obtained for the volume is 18.8 Å³ per atom. Its space-group type is F-43m.

Geometry as POSCAR:
```
Ta2MoPb
1.0
-3.962 -0.101 2.596
0.253 -0.667 4.684
-0.986 3.567 2.958
Mo Pb Ta
1 1 2
direct
0.500 0.500 0.500
0.750 0.750 0.750
0.250 0.250 0.250
0.000 0.000 0.000
```